[1]
InSiB2Sb | PBE | optimized geometry

Lattice parameters (Å, degrees): 4.1498 5.4796 4.1498 90.00 90.00 90.00
Positions (direct):
B: 0.5000 0.0000 0.0000
B: 0.0000 0.0000 0.5000
Sb: 0.5000 0.5000 0.5000
In: 0.0000 0.5000 0.0000
Si: 0.0000 0.0000 0.0000

Summary:
As for the crystal system: tetragonal. The calculation puts the formation energy without anion corrections at 1.18 eV/atom. For the excess energy over the best structure of this formula in the dataset, the calculation gives 0.0000 eV/atom.

=====

[2]
InSiB2Sb | PBE | optimized geometry

Lattice parameters (Å, degrees): 4.4606 5.4578 4.4606 90.00 90.00 90.00
Positions (direct):
B: 0.5000 0.0000 0.0000
B: 0.0000 0.0000 0.5000
Sb: 0.0000 0.0000 0.0000
Si: 0.0000 0.5000 0.0000
In: 0.5000 0.5000 0.5000

Summary:
As for the crystal system: tetragonal. The calculation puts the formation energy without anion corrections at 1.67 eV/atom. For the excess energy over the best structure of this formula in the dataset, the calculation gives 0.4811 eV/atom.

=====

[3]
Ti2InBSb | PBE | optimized geometry

Lattice parameters (Å, degrees): 4.5283 4.3365 4.5283 90.00 90.00 90.00
Positions (direct):
Sb: 0.5000 0.5000 0.5000
Ti: 0.0000 0.0000 0.5000
Ti: 0.5000 0.0000 0.0000
B: 0.0000 0.0000 0.0000
In: 0.0000 0.5000 0.0000

Summary:
As for the crystal system: tetragonal. The calculation puts the formation energy without anion corrections at 0.01 eV/atom.

=====

[4]
Sc3InB | PBE | optimized geometry

Lattice parameters (Å, degrees): 5.2585 5.2585 5.2585 90.00 90.00 90.00
Positions (direct):
Sc: 0.5000 0.0000 0.0000
Sc: 0.0000 0.0000 0.5000
Sc: 0.0000 0.5000 0.0000
In: 0.0000 0.0000 0.0000
B: 0.5000 0.5000 0.5000

Summary:
As for the formation energy: 1298 meV/atom. As for the crystal system: cubic. For the excess energy over the best structure of this formula in the dataset, the calculation gives 1.6962 eV/atom.

=====

[5]
ScIn3B | PBE | optimized geometry

Lattice parameters (Å, degrees): 5.5770 5.5770 5.5770 90.00 90.00 90.00
Positions (direct):
In: 0.0000 0.5000 0.0000
In: 0.0000 0.0000 0.5000
In: 0.5000 0.0000 0.0000
B: 0.5000 0.5000 0.5000
Sc: 0.0000 0.0000 0.0000

Summary:
As for the formation energy: 1409 meV/atom. As for the crystal system: cubic. For the excess energy over the best structure of this formula in the dataset, the calculation gives 0.9268 eV/atom.

=====

[6]
ScInB2 | PBE | optimized geometry

Lattice parameters (Å, degrees): 4.3464 4.3464 7.7864 73.79 73.79 90.00
Positions (direct):
In: 0.7500 0.2500 0.5000
In: 0.0000 0.0000 0.0000
B: 0.8750 0.9475 0.7500
B: 0.0525 0.6250 0.2500
B: 0.6975 0.1250 0.2500
B: 0.3750 0.3025 0.7500
Sc: 0.5000 0.5000 0.0000
Sc: 0.2500 0.7500 0.5000

Summary:
As for the formation energy: 791 meV/atom. As for the crystal system: tetragonal.

=====

[7]
Sc3InB | PBE | optimized geometry

Lattice parameters (Å, degrees): 4.6920 4.6920 4.6920 90.00 90.00 90.00
Positions (direct):
B: 0.0000 0.0000 0.0000
Sc: 0.0000 0.0000 0.5000
Sc: 0.0000 0.5000 0.0000
Sc: 0.5000 0.0000 0.0000
In: 0.5000 0.5000 0.5000

Summary:
As for the formation energy: -398 meV/atom. As for the crystal system: cubic. For the excess energy over the best structure of this formula in the dataset, the calculation gives 0.0000 eV/atom.

=====

[8]
Sc2InB | PBE | optimized geometry

Lattice parameters (Å, degrees): 7.1980 7.1980 5.9586 52.84 52.84 90.00
Positions (direct):
In: 0.0000 0.0000 0.0000
In: 0.7500 0.2500 0.5000
Sc: 0.5520 0.1250 0.2500
Sc: 0.8750 0.8020 0.7500
Sc: 0.1980 0.6250 0.2500
Sc: 0.3750 0.4480 0.7500
B: 0.5000 0.5000 0.0000
B: 0.2500 0.7500 0.5000

Summary:
As for the formation energy: 71 meV/atom. As for the crystal system: tetragonal. For the excess energy over the best structure of this formula in the dataset, the calculation gives 0.1153 eV/atom.

=====

[9]
ScInB3 | PBE | optimized geometry

Lattice parameters (Å, degrees): 4.4535 4.4535 4.4535 90.00 90.00 90.00
Positions (direct):
B: 0.0000 0.5000 0.0000
B: 0.0000 0.0000 0.5000
B: 0.5000 0.0000 0.0000
In: 0.5000 0.5000 0.5000
Sc: 0.0000 0.0000 0.0000

Summary:
As for the formation energy: 1825 meV/atom. As for the crystal system: cubic. For the excess energy over the best structure of this formula in the dataset, the calculation gives 0.0320 eV/atom.

=====

[10]
ScIn2B2 | PBE | optimized geometry

Lattice parameters (Å, degrees): 4.3733 4.3733 5.4855 66.51 66.51 90.00
Positions (direct):
In: 0.6507 0.6507 0.6985
In: 0.3493 0.3493 0.3015
B: 0.2500 0.7500 0.5000
B: 0.7500 0.2500 0.5000
Sc: 0.0000 0.0000 0.0000

Summary:
As for the formation energy: 728 meV/atom. As for the crystal system: tetragonal. For the excess energy over the best structure of this formula in the dataset, the calculation gives 0.0000 eV/atom.

=====

[11]
ScInB3 | PBE | optimized geometry

Lattice parameters (Å, degrees): 4.3904 4.3904 4.3904 90.00 90.00 90.00
Positions (direct):
B: 0.0000 0.0000 0.5000
B: 0.0000 0.5000 0.0000
B: 0.5000 0.0000 0.0000
In: 0.0000 0.0000 0.0000
Sc: 0.5000 0.5000 0.5000

Summary:
As for the formation energy: 1793 meV/atom. As for the crystal system: cubic. For the excess energy over the best structure of this formula in the dataset, the calculation gives 0.0000 eV/atom.

=====

[12]
ScIn2B2 | PBE | optimized geometry

Lattice parameters (Å, degrees): 7.3580 7.3580 3.0840 90.00 90.00 90.00
Positions (direct):
In: 0.8655 0.6345 0.0000
In: 0.3655 0.8655 0.0000
In: 0.6345 0.1345 0.0000
In: 0.1345 0.3655 0.0000
B: 0.6707 0.8293 0.5000
B: 0.1707 0.6707 0.5000
B: 0.8293 0.3293 0.5000
B: 0.3293 0.1707 0.5000
Sc: 0.5000 0.5000 0.0000
Sc: 0.0000 0.0000 0.0000

Summary:
As for the formation energy: 932 meV/atom. As for the crystal system: tetragonal. For the excess energy over the best structure of this formula in the dataset, the calculation gives 0.2046 eV/atom.

=====

[13]
Sc2InB | PBE | optimized geometry

Lattice parameters (Å, degrees): 9.7179 9.7179 9.7179 19.72 19.72 19.72
Each line ends with the local moment (μB).
Positions (direct):
Sc: 0.0823 0.0823 0.0823  0.14
Sc: 0.9177 0.9177 0.9177  0.14
In: 0.5000 0.5000 0.5000  -0.01
B: 0.0000 0.0000 0.0000  0.11

Summary:
As for the formation energy: 735 meV/atom. As for the crystal system: trigonal. For the excess energy over the best structure of this formula in the dataset, the calculation gives 0.7789 eV/atom.

=====

[14]
ScIn3B | PBE | optimized geometry

Lattice parameters (Å, degrees): 4.8144 4.8144 4.8144 90.00 90.00 90.00
Positions (direct):
In: 0.0000 0.0000 0.5000
In: 0.0000 0.5000 0.0000
In: 0.5000 0.0000 0.0000
B: 0.0000 0.0000 0.0000
Sc: 0.5000 0.5000 0.5000

Summary:
As for the formation energy: 482 meV/atom. As for the crystal system: cubic. For the excess energy over the best structure of this formula in the dataset, the calculation gives 0.0000 eV/atom.

=====

[15]
Sc2InB | PBE | optimized geometry

Lattice parameters (Å, degrees): 4.6884 4.6884 4.6884 60.00 60.00 60.00
Positions (direct):
B: 0.0000 0.0000 0.0000
Sc: 0.7500 0.7500 0.7500
Sc: 0.2500 0.2500 0.2500
In: 0.5000 0.5000 0.5000

Summary:
As for the formation energy: 149 meV/atom. As for the crystal system: cubic. For the excess energy over the best structure of this formula in the dataset, the calculation gives 0.1928 eV/atom.

=====

[16]
Sc2InB | PBE | optimized geometry

Lattice parameters (Å, degrees): 8.9655 8.9655 8.9655 22.76 22.76 22.76
Positions (direct):
Sc: 0.8791 0.8791 0.8791
Sc: 0.1209 0.1209 0.1209
In: 0.0000 0.0000 0.0000
B: 0.5000 0.5000 0.5000

Summary:
As for the formation energy: -44 meV/atom. As for the crystal system: trigonal. For the excess energy over the best structure of this formula in the dataset, the calculation gives 0.0000 eV/atom.

=====

[17]
ScInSn2B | PBE | optimized geometry

Lattice parameters (Å, degrees): 5.4827 5.4540 5.4827 90.00 90.00 90.00
Positions (direct):
In: 0.0000 0.0000 0.0000
Sc: 0.0000 0.5000 0.0000
B: 0.5000 0.5000 0.5000
Sn: 0.0000 0.0000 0.5000
Sn: 0.5000 0.0000 0.0000

Summary:
As for the formation energy: 1482 meV/atom. As for the crystal system: tetragonal.

=====

[18]
ScIn2SnB | PBE | optimized geometry

Lattice parameters (Å, degrees): 5.8963 3.9981 5.8963 90.00 90.00 90.00
Positions (direct):
Sn: 0.0000 0.0000 0.0000
B: 0.0000 0.5000 0.0000
In: 0.0000 0.0000 0.5000
In: 0.5000 0.0000 0.0000
Sc: 0.5000 0.5000 0.5000

Summary:
As for the formation energy: 956 meV/atom. As for the crystal system: tetragonal.

=====

[19]
ScTaInB2 | PBE | optimized geometry

Lattice parameters (Å, degrees): 4.4288 4.9541 4.4288 90.00 90.00 90.00
Positions (direct):
Sc: 0.0000 0.0000 0.0000
B: 0.0000 0.0000 0.5000
B: 0.5000 0.0000 0.0000
In: 0.5000 0.5000 0.5000
Ta: 0.0000 0.5000 0.0000

Summary:
As for the formation energy: 1858 meV/atom. As for the crystal system: tetragonal.

=====

[20]
ScIn2BTe | PBE | optimized geometry

Lattice parameters (Å, degrees): 5.6861 5.3764 5.6861 90.00 90.00 90.00
Positions (direct):
B: 0.5000 0.5000 0.5000
Te: 0.0000 0.5000 0.0000
Sc: 0.0000 0.0000 0.0000
In: 0.5000 0.0000 0.0000
In: 0.0000 0.0000 0.5000

Summary:
As for the crystal system: tetragonal. The calculation puts the formation energy without anion corrections at 1.07 eV/atom.